# 1
The following is a DFT calculation (GGA-PBE) of AlCo2W after structural relaxation.

a b c (Å): 2.7272 2.7272 6.9411
angles (deg): 90.00 90.00 90.00
Last column: nearest neighbours and their distance in Å.
Fractional coordinates of all 4 atoms:
Al (0.0000, 0.0000, 0.0000)  4 Co 2.50, 4 Al 2.73
Co (0.0000, 0.0000, 0.4458)  8 Co 2.45-2.73, 4 W 2.64
Co (0.5000, 0.5000, 0.2288)  8 Co 2.45-2.73, 4 Al 2.50
W (0.5000, 0.5000, 0.7057)  4 Co 2.64, 4 W 2.73, 4 Al 2.81

Output
- E_form (meV per atom) = -62.5
- space-group type = P4mm, No. 99

***

# 2
The following is a DFT calculation (GGA-PBE) of MgCd2In after structural relaxation.

a b c (Å): 3.2525 3.2525 8.7236
angles (deg): 90.00 90.00 90.00
Last column: nearest neighbours and their distance in Å.
Fractional coordinates of all 4 atoms:
Mg (0.0000, 0.0000, 0.0000)  4 Cd 3.07, 4 In 3.19, 4 Mg 3.25
Cd (0.0000, 0.0000, 0.4816)  8 Cd 3.16-3.25, 4 In 3.27
Cd (0.5000, 0.5000, 0.2338)  4 Mg 3.07, 8 Cd 3.16-3.25
In (0.5000, 0.5000, 0.7473)  4 Mg 3.19, 4 In 3.25, 4 Cd 3.27

Output
- E_form (meV per atom) = -38.4
- space-group type = P4mm, No. 99

***

# 3
The following is a DFT calculation (GGA-PBE) of MnHgSb2I after structural relaxation.

a b c (Å): 4.8952 4.8952 5.8691
angles (deg): 90.00 90.00 90.00
Last column: nearest neighbours and their distance in Å.
Fractional coordinates of all 5 atoms:
Mn (0.0000, 0.0000, 0.0000)  4 Sb 2.45
Hg (0.5000, 0.5000, 0.5000)  4 I 3.46, 8 Sb 3.82
Sb (0.0000, 0.5000, 0.0000)  2 Mn 2.45
Sb (0.5000, 0.0000, 0.0000)  2 Mn 2.45
I (0.0000, 0.0000, 0.5000)  2 Mn 2.93

Output
- offset from the most stable computed form (meV/atom) = 0
- space-group type = P4/mmm, No. 123

***

# 4
The following is a DFT calculation (GGA-PBE) of Tb6Rh2O after structural relaxation.

a b c (Å): 6.3555 7.0732 11.3480
angles (deg): 90.00 122.62 90.00
Last column: nearest neighbours and their distance in Å.
Fractional coordinates of all 18 atoms:
Tb (0.1160, 0.0365, 0.2428)  1 O 2.45
Tb (0.1160, 0.4635, 0.7428)  1 O 2.45
Tb (0.2360, 0.6820, 0.0626)  1 O 2.58, 1 Rh 2.84
Tb (0.2360, 0.8180, 0.5626)  1 O 2.58, 1 Rh 2.84
Tb (0.3762, 0.1728, 0.0600)  1 O 2.43
Tb (0.3762, 0.3272, 0.5600)  1 O 2.43
Tb (0.6238, 0.6728, 0.4400)  1 O 2.43
Tb (0.6238, 0.8272, 0.9400)  1 O 2.43
Tb (0.7640, 0.1820, 0.4374)  1 O 2.58, 1 Rh 2.84
Tb (0.7640, 0.3180, 0.9374)  1 O 2.58, 1 Rh 2.84
Tb (0.8840, 0.5365, 0.2572)  1 O 2.45
Tb (0.8840, 0.9635, 0.7572)  1 O 2.45
Rh (0.3042, 0.1067, 0.7540)  6 Tb 2.77-2.93
Rh (0.3042, 0.3933, 0.2540)  6 Tb 2.77-2.93
Rh (0.6958, 0.6067, 0.7460)  6 Tb 2.77-2.93
Rh (0.6958, 0.8933, 0.2460)  6 Tb 2.77-2.93
O (0.0000, 0.0000, 0.0000)  6 Tb 2.43-2.58
O (0.0000, 0.5000, 0.5000)  6 Tb 2.43-2.58

Output
- total energy (eV per cell) = -114.4
- space-group type = P2_1/c, No. 14

***

# 5
The following is a DFT calculation (GGA-PBE) of Er4SnTe2S after structural relaxation.

a b c (Å): 7.2684 4.2151 7.4379
angles (deg): 90.00 109.20 90.00
Last column: nearest neighbours and their distance in Å.
Fractional coordinates of all 8 atoms:
Er (0.2265, 0.0000, 0.2161)  2 S 2.83, 1 Sn 2.94, 1 Te 3.08
Er (0.2451, 0.5000, 0.7724)  1 S 2.83, 2 Sn 2.95, 3 Te 3.06-3.16
Er (0.7549, 0.5000, 0.2276)  1 S 2.83, 2 Sn 2.95, 3 Te 3.06-3.16
Er (0.7735, 0.0000, 0.7839)  2 S 2.83, 1 Sn 2.94, 1 Te 3.08
Sn (0.5000, 0.0000, 0.0000)  6 Er 2.94-2.95
Te (0.0000, 0.0000, 0.5000)  6 Er 3.06-3.08
Te (0.5000, 0.5000, 0.5000)  6 Er 3.16-3.18
S (0.0000, 0.5000, 0.0000)  6 Er 2.83

Output
- total energy (eV per cell) = -42.9
- space-group type = P2/m, No. 10

***

# 6
The following is a DFT calculation (GGA-PBE) of Cs3TbGa2O6 after structural relaxation.

a b c (Å): 6.2749 6.2749 7.7912
angles (deg): 90.00 90.00 120.00
Last column: nearest neighbours and their distance in Å.
Fractional coordinates of all 12 atoms:
Cs (0.0000, 0.0000, 0.0000)  6 O 3.07
Cs (0.3333, 0.6667, 0.7598)  6 O 3.19, 1 Ga 3.42
Cs (0.6667, 0.3333, 0.2402)  6 O 3.19, 1 Ga 3.42
Tb (0.0000, 0.0000, 0.5000)  6 O 2.32
Ga (0.3333, 0.6667, 0.3214)  3 O 1.79
Ga (0.6667, 0.3333, 0.6786)  3 O 1.79
O (0.1683, 0.3366, 0.3170)  1 Ga 1.79
O (0.1683, 0.8317, 0.3170)  1 Ga 1.79
O (0.3366, 0.1683, 0.6830)  1 Ga 1.79
O (0.6634, 0.8317, 0.3170)  1 Ga 1.79
O (0.8317, 0.1683, 0.6830)  1 Ga 1.79
O (0.8317, 0.6634, 0.6830)  1 Ga 1.79

Output
- total energy (eV per cell) = -66.8
- space-group type = P-3m1, No. 164

***

# 7
The following is a DFT calculation (GGA-PBE) of ThTlSn after structural relaxation.

a b c (Å): 5.3441 5.3441 3.4580
angles (deg): 90.00 90.00 120.00
Last column: nearest neighbours and their distance in Å.
Fractional coordinates of all 3 atoms:
Th (0.0000, 0.0000, 0.0000)  6 Tl 3.43-3.66, 6 Sn 3.45-3.63, 2 Th 3.46
Tl (0.3333, 0.6667, 0.4332)  3 Sn 3.11, 3 Th 3.43, 2 Tl 3.46
Sn (0.6667, 0.3333, 0.5531)  3 Tl 3.11, 3 Th 3.45, 2 Sn 3.46

Output
- offset from the most stable computed form (meV/atom) = 170
- E_form (meV per atom) = -144.9
- space-group type = P3m1, No. 156

***

# 8
The following is a DFT calculation (GGA-PBE) of Li2AlCd after structural relaxation.

a b c (Å): 9.5586 9.5586 9.5586
angles (deg): 17.99 17.99 17.99
Last column: nearest neighbours and their distance in Å.
Fractional coordinates of all 4 atoms:
Li (0.2456, 0.2456, 0.2456)  3 Al 2.82, 6 Li 2.99, 3 Cd 3.02
Li (0.7544, 0.7544, 0.7544)  3 Al 2.82, 6 Li 2.99, 3 Cd 3.02
Al (0.5000, 0.5000, 0.5000)  6 Li 2.82, 6 Al 2.99
Cd (0.0000, 0.0000, 0.0000)  6 Cd 2.99, 6 Li 3.02

Output
- E_form (meV per atom) = -107.0
- space-group type = R-3m, No. 166

***

# 9
The following is a DFT calculation (GGA-PBE) of La2PuCd6 after structural relaxation.

a b c (Å): 8.9542 8.9542 3.3662
angles (deg): 90.00 90.00 120.00
Last column: nearest neighbours and their distance in Å.
Fractional coordinates of all 9 atoms:
La (0.3333, 0.6667, 0.0000)  2 La 3.37, 12 Cd 3.44
La (0.6667, 0.3333, 0.0000)  2 La 3.37, 12 Cd 3.44
Pu (0.0000, 0.0000, 0.0000)  2 Pu 3.37, 12 Cd 3.41
Cd (0.0000, 0.3309, 0.5000)  3 Cd 2.96-3.03
Cd (0.0000, 0.6691, 0.5000)  3 Cd 2.96-3.03
Cd (0.3309, 0.0000, 0.5000)  3 Cd 2.96-3.03
Cd (0.3309, 0.3309, 0.5000)  3 Cd 2.96-3.03
Cd (0.6691, 0.0000, 0.5000)  3 Cd 2.96-3.03
Cd (0.6691, 0.6691, 0.5000)  3 Cd 2.96-3.03

Output
- E_form (meV per atom) = -276.0
- space-group type = P6/mmm, No. 191

***

# 10
The following is a DFT calculation (GGA-PBE) of Ba3ScBi after structural relaxation.

a b c (Å): 6.1531 6.1531 6.1531
angles (deg): 90.00 90.00 90.00
Last column: nearest neighbours and their distance in Å.
Fractional coordinates of all 5 atoms:
Ba (0.0000, 0.0000, 0.5000)  2 Sc 3.08
Ba (0.0000, 0.5000, 0.0000)  2 Sc 3.08
Ba (0.5000, 0.0000, 0.0000)  2 Sc 3.08
Sc (0.0000, 0.0000, 0.0000)  6 Ba 3.08
Bi (0.5000, 0.5000, 0.5000)  12 Ba 4.35

Output
- E_form (meV per atom) = 359.0
- space-group type = Pm-3m, No. 221

***

# 11
The following is a DFT calculation (GGA-PBE) of NpAg2S5 after structural relaxation.

a b c (Å): 5.0677 5.0688 7.1173
angles (deg): 102.65 97.82 93.67
Last column: nearest neighbours and their distance in Å.
Fractional coordinates of all 8 atoms:
Np (0.0000, 0.0000, 0.0000)  7 S 2.72-2.92
Ag (0.5357, 0.5343, 0.1410)  4 S 2.52-2.55
Ag (0.6444, 0.1140, 0.5314)  5 S 2.57-2.87
S (0.0339, 0.5459, 0.1422)  2 Ag 2.52-2.55, 2 Np 2.72
S (0.1503, 0.2094, 0.6752)  1 S 2.11
S (0.2072, 0.6307, 0.6929)  2 S 2.10-2.11
S (0.5319, 0.0427, 0.1601)  3 Ag 2.52-2.57, 2 Np 2.76-2.77
S (0.6172, 0.6853, 0.6746)  1 S 2.10

Output
- total energy (eV per cell) = -42.2
- space-group type = P1, No. 1